--- 1 ---
Sn2AsPd4 after structural relaxation. Source: Alexandria, functional PBE.

Calculated values
Its crystal system is orthorhombic. As for the density: 9.3 Mg/m³.

a b c (Å): 6.0021 10.6258 4.1315
angles (deg): 90.00 90.00 90.00
Closest atoms and distances in Å follow each position.
Space group Pbam (No. 55)
One atom of each set of equivalent atoms:
Sn: 0.1164 0.1393 0.0000 [4 per cell]  7 Pd 2.69-2.86
As: 0.0000 0.5000 0.5000 [2 per cell]  6 Pd 2.53-2.57
Pd: 0.1212 0.7323 0.5000 [4 per cell]  1 As 2.57, 4 Sn 2.78-2.86
Pd: 0.1744 0.4041 0.0000 [4 per cell]  2 As 2.53, 2 Sn 2.69-2.80

--- 2 ---
Sn2AsPd4 after structural relaxation. Source: Alexandria, functional PBE.

Calculated values
Its crystal system is tetragonal. As for the density: 8.1 Mg/m³.

a b c (Å): 4.7204 4.7204 13.5642
angles (deg): 90.00 90.00 90.00
Closest atoms and distances in Å follow each position.
Space group I4/mmm (No. 139)
One atom of each set of equivalent atoms:
Sn: 0.0000 0.0000 0.1310 [4 per cell]  1 Pd 2.61
As: 0.0000 0.0000 0.5000 [2 per cell]  6 Pd 2.36-2.40
Pd: 0.0000 0.0000 0.3234 [4 per cell]  1 As 2.40, 1 Sn 2.61
Pd: 0.0000 0.5000 0.0000 [4 per cell]  2 As 2.36

The structure shown above that is least stable: 2.